one:
# LuPuSc GGA-PBE relaxed
data_LuPuSc
_cell_length_a 5.3321
_cell_length_b 5.3321
_cell_length_c 3.1910
_cell_angle_alpha 90.00
_cell_angle_beta 90.00
_cell_angle_gamma 120.00
_space_group_name_H-M_alt 'P 3 m 1'
_space_group_IT_number 156
_space_group_name_Hall 'P 3 -2"'
loop_
_atom_site_label
_atom_site_fract_x
_atom_site_fract_y
_atom_site_fract_z
Lu1 0.0000 0.0000 0.0000
Pu1 0.6667 0.3333 0.5006
Sc1 0.3333 0.6667 0.4983
# DOS at the Fermi energy ... 9.31 states/eV/cell
# Mass density ... 9.80 g/cm³
# Total magnetic moment ... 1.970 μB per atom

two:
# LuPuSc GGA-PBE relaxed
data_LuPuSc
_cell_length_a 3.367
_cell_length_b 3.367
_cell_length_c 14.093
_cell_angle_alpha 90.00
_cell_angle_beta 90.00
_cell_angle_gamma 90.00
_space_group_name_H-M_alt 'I 4 m m'
_space_group_IT_number 107
_space_group_name_Hall 'I 4 -2'
loop_
_atom_site_label
_atom_site_fract_x
_atom_site_fract_y
_atom_site_fract_z
Lu1 0.000 0.000 0.000
Pu1 0.000 0.000 0.673
Sc1 0.000 0.000 0.332
# DOS at the Fermi energy ... 15.54 states/eV/cell
# Mass density ... 9.64 g/cm³
# Total magnetic moment ... 1.963 μB per atom

Best to worst by energy: two, one.

one:
# Lu2PuSe GGA-PBE relaxed
data_Lu2PuSe
_cell_length_a 3.487
_cell_length_b 3.487
_cell_length_c 8.238
_cell_angle_alpha 90.00
_cell_angle_beta 90.00
_cell_angle_gamma 90.00
_space_group_name_H-M_alt 'P 4/m m m'
_space_group_IT_number 123
_space_group_name_Hall '-P 4 2'
loop_
_atom_site_label
_atom_site_fract_x
_atom_site_fract_y
_atom_site_fract_z
Lu1 0.000 0.000 0.215
Pu1 0.500 0.500 0.500
Se1 0.500 0.500 0.000
# DOS at the Fermi energy ... 8.00 states/eV/cell
# Mass density ... 11.16 g/cm³
# Total magnetic moment ... 1.462 μB per atom

two:
# Lu2PuSe GGA-PBE relaxed
data_Lu2PuSe
_cell_length_a 3.5856
_cell_length_b 3.5856
_cell_length_c 30.6415
_cell_angle_alpha 90.00
_cell_angle_beta 90.00
_cell_angle_gamma 120.00
_space_group_name_H-M_alt 'R -3 m'
_space_group_IT_number 166
_space_group_name_Hall '-R 3 2"'
loop_
_atom_site_label
_atom_site_fract_x
_atom_site_fract_y
_atom_site_fract_z
Lu1 0.0000 0.0000 0.1064
Pu1 0.0000 0.0000 0.0000
Se1 0.0000 0.0000 0.5000
# DOS at the Fermi energy ... 29.84 states/eV/cell
# Mass density ... 9.83 g/cm³
# Total magnetic moment ... 1.639 μB per atom

Best to worst by energy: one, two.

one:
# Lu2PuSi GGA-PBE relaxed
data_Lu2PuSi
_cell_length_a 4.585
_cell_length_b 4.585
_cell_length_c 4.413
_cell_angle_alpha 90.00
_cell_angle_beta 90.00
_cell_angle_gamma 90.00
_space_group_name_H-M_alt 'P 4/m m m'
_space_group_IT_number 123
_space_group_name_Hall '-P 4 2'
loop_
_atom_site_label
_atom_site_fract_x
_atom_site_fract_y
_atom_site_fract_z
Lu1 0.000 0.500 0.000
Pu1 0.000 0.000 0.500
Si1 0.500 0.500 0.500
# DOS at the Fermi energy ... 11.37 states/eV/cell
# Mass density ... 11.13 g/cm³
# Total magnetic moment ... 1.585 μB per atom

two:
# Lu2PuSi GGA-PBE relaxed
data_Lu2PuSi
_cell_length_a 3.4643
_cell_length_b 3.4643
_cell_length_c 29.4998
_cell_angle_alpha 90.00
_cell_angle_beta 90.00
_cell_angle_gamma 120.00
_space_group_name_H-M_alt 'R -3 m'
_space_group_IT_number 166
_space_group_name_Hall '-R 3 2"'
loop_
_atom_site_label
_atom_site_fract_x
_atom_site_fract_y
_atom_site_fract_z
Lu1 0.0000 0.0000 0.2352
Pu1 0.0000 0.0000 0.0000
Si1 0.0000 0.0000 0.5000
# DOS at the Fermi energy ... 26.12 states/eV/cell
# Mass density ... 10.11 g/cm³
# Total magnetic moment ... 1.667 μB per atom

Best to worst by energy: one, two.

one:
# SmLuPu2 GGA-PBE relaxed
data_SmLuPu2
_cell_length_a 4.807
_cell_length_b 4.807
_cell_length_c 5.032
_cell_angle_alpha 90.00
_cell_angle_beta 90.00
_cell_angle_gamma 90.00
_space_group_name_H-M_alt 'P 4/m m m'
_space_group_IT_number 123
_space_group_name_Hall '-P 4 2'
loop_
_atom_site_label
_atom_site_fract_x
_atom_site_fract_y
_atom_site_fract_z
Sm1 0.000 0.000 0.000
Lu1 0.500 0.500 0.000
Pu1 0.000 0.500 0.500
# DOS at the Fermi energy ... 15.17 states/eV/cell
# Mass density ... 11.61 g/cm³
# Total magnetic moment ... 3.134 μB per atom

two:
# SmLuPu2 GGA-PBE relaxed
data_SmLuPu2
_cell_length_a 3.402
_cell_length_b 3.402
_cell_length_c 10.097
_cell_angle_alpha 90.00
_cell_angle_beta 90.00
_cell_angle_gamma 90.00
_space_group_name_H-M_alt 'P 4/m m m'
_space_group_IT_number 123
_space_group_name_Hall '-P 4 2'
loop_
_atom_site_label
_atom_site_fract_x
_atom_site_fract_y
_atom_site_fract_z
Sm1 0.000 0.000 0.000
Lu1 0.000 0.000 0.500
Pu1 0.500 0.500 0.256
# DOS at the Fermi energy ... 13.78 states/eV/cell
# Mass density ... 11.56 g/cm³
# Total magnetic moment ... 3.199 μB per atom

Best to worst by energy: two, one.

one:
# TbLuPu2 GGA-PBE relaxed
data_TbLuPu2
_cell_length_a 4.782
_cell_length_b 4.782
_cell_length_c 5.016
_cell_angle_alpha 90.00
_cell_angle_beta 90.00
_cell_angle_gamma 90.00
_space_group_name_H-M_alt 'P 4/m m m'
_space_group_IT_number 123
_space_group_name_Hall '-P 4 2'
loop_
_atom_site_label
_atom_site_fract_x
_atom_site_fract_y
_atom_site_fract_z
Tb1 0.000 0.000 0.000
Lu1 0.500 0.500 0.000
Pu1 0.000 0.500 0.500
# DOS at the Fermi energy ... 14.19 states/eV/cell
# Mass density ... 11.90 g/cm³
# Total magnetic moment ... 3.182 μB per atom

two:
# TbLuPu2 GGA-PBE relaxed
data_TbLuPu2
_cell_length_a 3.4149
_cell_length_b 3.4149
_cell_length_c 34.0298
_cell_angle_alpha 90.00
_cell_angle_beta 90.00
_cell_angle_gamma 120.00
_space_group_name_H-M_alt 'R -3 m'
_space_group_IT_number 166
_space_group_name_Hall '-R 3 2"'
loop_
_atom_site_label
_atom_site_fract_x
_atom_site_fract_y
_atom_site_fract_z
Tb1 0.0000 0.0000 0.0000
Lu1 0.0000 0.0000 0.5000
Pu1 0.0000 0.0000 0.2491
# DOS at the Fermi energy ... 50.45 states/eV/cell
# Mass density ... 11.91 g/cm³
# Total magnetic moment ... 2.986 μB per atom

Best to worst by energy: one, two.

one:
# Tb2LuPu GGA-PBE relaxed
data_Tb2LuPu
_cell_length_a 4.944
_cell_length_b 4.944
_cell_length_c 4.934
_cell_angle_alpha 90.00
_cell_angle_beta 90.00
_cell_angle_gamma 90.00
_space_group_name_H-M_alt 'P 4/m m m'
_space_group_IT_number 123
_space_group_name_Hall '-P 4 2'
loop_
_atom_site_label
_atom_site_fract_x
_atom_site_fract_y
_atom_site_fract_z
Tb1 0.000 0.500 0.000
Lu1 0.000 0.000 0.500
Pu1 0.500 0.500 0.500
# DOS at the Fermi energy ... 15.91 states/eV/cell
# Mass density ... 10.15 g/cm³
# Total magnetic moment ... 1.569 μB per atom

two:
# Tb2LuPu GGA-PBE relaxed
data_Tb2LuPu
_cell_length_a 3.477
_cell_length_b 3.477
_cell_length_c 9.964
_cell_angle_alpha 90.00
_cell_angle_beta 90.00
_cell_angle_gamma 90.00
_space_group_name_H-M_alt 'P 4/m m m'
_space_group_IT_number 123
_space_group_name_Hall '-P 4 2'
loop_
_atom_site_label
_atom_site_fract_x
_atom_site_fract_y
_atom_site_fract_z
Tb1 0.000 0.000 0.248
Lu1 0.500 0.500 0.500
Pu1 0.500 0.500 0.000
# DOS at the Fermi energy ... 9.81 states/eV/cell
# Mass density ... 10.15 g/cm³
# Total magnetic moment ... 1.494 μB per atom

Best to worst by energy: two, one.

one:
# LuPuTc2 GGA-PBE relaxed
data_LuPuTc2
_cell_length_a 6.706
_cell_length_b 6.706
_cell_length_c 6.706
_cell_angle_alpha 90.00
_cell_angle_beta 90.00
_cell_angle_gamma 90.00
_space_group_name_H-M_alt 'F m -3 m'
_space_group_IT_number 225
_space_group_name_Hall '-F 4 2 3'
loop_
_atom_site_label
_atom_site_fract_x
_atom_site_fract_y
_atom_site_fract_z
Lu1 0.000 0.000 0.000
Pu1 0.000 0.000 0.500
Tc1 0.250 0.250 0.250
# DOS at the Fermi energy ... 22.06 states/eV/cell
# Mass density ... 13.54 g/cm³
# Total magnetic moment ... 0.798 μB per atom

two:
# LuPuTc2 GGA-PBE relaxed
data_LuPuTc2
_cell_length_a 3.342
_cell_length_b 3.342
_cell_length_c 6.804
_cell_angle_alpha 90.00
_cell_angle_beta 90.00
_cell_angle_gamma 90.00
_space_group_name_H-M_alt 'P 4/m m m'
_space_group_IT_number 123
_space_group_name_Hall '-P 4 2'
loop_
_atom_site_label
_atom_site_fract_x
_atom_site_fract_y
_atom_site_fract_z
Lu1 0.000 0.000 0.000
Pu1 0.000 0.000 0.500
Tc1 0.500 0.500 0.275
# DOS at the Fermi energy ... 7.08 states/eV/cell
# Mass density ... 13.43 g/cm³
# Total magnetic moment ... 0.764 μB per atom

Best to worst by energy: two, one.